1.
{
  "formula": "TbZn12Cu4",
  "functional": "PBE",
  "state": "optimized geometry",
  "lattice": [[-4.253, 4.253, 4.253], [4.253, -4.253, 4.253], [4.253, 4.253, -4.253]],
  "species": ["Tb", "Zn", "Zn", "Zn", "Zn", "Zn", "Zn", "Zn", "Zn", "Zn", "Zn", "Zn", "Zn", "Cu", "Cu", "Cu", "Cu"],
  "fractional_positions": [[0.000, 0.000, 0.000], [0.157, 0.351, 0.508], [0.157, 0.649, 0.807], [0.193, 0.843, 0.351], [0.351, 0.193, 0.843], [0.351, 0.508, 0.157], [0.492, 0.843, 0.649], [0.508, 0.157, 0.351], [0.649, 0.492, 0.843], [0.649, 0.807, 0.157], [0.807, 0.157, 0.649], [0.843, 0.351, 0.193], [0.843, 0.649, 0.492], [0.000, 0.000, 0.500], [0.000, 0.500, 0.000], [0.500, 0.000, 0.000], [0.500, 0.500, 0.500]],
  "ef_ev_per_atom": 0.16
}



2.
{
  "formula": "Tb3Zn8Cu",
  "functional": "PBE",
  "state": "optimized geometry",
  "lattice": [[2.686, 1.551, 8.791], [-2.686, 1.551, 8.791], [0.000, -3.101, 8.791]],
  "species": ["Tb", "Tb", "Tb", "Zn", "Zn", "Zn", "Zn", "Zn", "Zn", "Zn", "Zn", "Cu"],
  "fractional_positions": [[0.000, 0.000, 0.000], [0.127, 0.127, 0.127], [0.613, 0.613, 0.613], [0.060, 0.060, 0.557], [0.060, 0.557, 0.060], [0.062, 0.561, 0.561], [0.310, 0.310, 0.310], [0.557, 0.060, 0.060], [0.561, 0.062, 0.561], [0.561, 0.561, 0.062], [0.811, 0.811, 0.811], [0.490, 0.490, 0.490]],
  "ef_ev_per_atom": -0.25
}